DFT (PBE-GGA) results for a relaxed structure of KAc2Hg2Pb2.

The formation energy from the elements is -0.257 eV per atom. The calculated total energy is -57.4 eV per cell.

Cell: 5.5057 5.5057 31.1656 Å, 90.00 90.00 120.00°
With the nearest neighbours (Å) after each atom.
Space group R-3m (No. 166, hexagonal axes)
Symmetry-distinct sites (fractional):
K 0.0000 0.0000 0.0000 x3  6 Pb 4.05, 2 Ac 4.11
Ac 0.0000 0.0000 0.1319 x6  3 Hg 3.27, 3 Pb 3.56
Hg 0.0000 0.0000 0.4410 x6  3 Ac 3.27, 3 Pb 3.29
Pb 0.0000 0.0000 0.2530 x6  3 Hg 3.29, 3 Ac 3.56